Density functional theory data (GGA-PBE) for an optimized crystal structure of ZrCdPb2.

Calculated values
D(E_F), states/eV per atom: 0.622
Crystal system: tetragonal
ρ, g cm⁻³: 10.33
Energy of formation from the pure elements, kJ per mole of atoms: 0.0

```
data_ZrCdPb2
_cell_length_a 4.399
_cell_length_b 4.399
_cell_length_c 10.272
_cell_angle_alpha 90.00
_cell_angle_beta 90.00
_cell_angle_gamma 90.00
_space_group_name_H-M_alt 'I -4 m 2'
_space_group_IT_number 119
_space_group_name_Hall 'I -4 -2'
loop_
_atom_site_label
_atom_site_type_symbol
_atom_site_fract_x
_atom_site_fract_y
_atom_site_fract_z
_atom_site_occupancy
Zr1 Zr 0.000 0.000 0.000 1
Cd1 Cd 0.000 0.500 0.750 1
Pb1 Pb 0.000 0.000 0.500 1
Pb2 Pb 0.000 0.500 0.250 1
```